Below is Y2CoIrF after structural relaxation, with properties calculated at the PBE with a Hubbard U level.

Cell lengths 4.7724, 4.2643, 4.7724 Å; angles 90.00, 90.00, 90.00 degrees
Sites, in units of the cell vectors:
1 Y 0.5000 0.0000 0.0000
2 Ir 0.0000 0.5000 0.0000
3 Co 0.5000 0.5000 0.5000
4 F 0.0000 0.0000 0.0000
5 Y 0.0000 0.0000 0.5000

* space-group type: P4/mmm, No. 123
* raw total energy: -30.73 eV for the cell shown
* Fermi-level density of states: 0.6514 states/eV per atom
* total magnetization: 1.367 μB/cell